(1)
Ga3AsPd6 | GGA-PBE | relaxed

Summary:
Volume, Å³/cell: 322.5
Crystal system: orthorhombic
Size of the total moment, μB/atom: 0.000
Energy relative to the elements, eV/atom: -0.480
Fermi-level density of states, states/eV/f.u.: 3.12
Space group: Cmc2_1
Total DFT energy (no corrections), eV/atom: -4.9685

Lattice parameters (Å, degrees): 6.624 7.295 7.295 113.79 90.00 90.00
Fractional positions:
As 0.508 0.787 0.213
As 0.008 0.213 0.787
Pd 0.110 0.793 0.669
Pd 0.144 0.732 0.268
Pd 0.812 0.044 0.956
Pd 0.644 0.268 0.732
Pd 0.272 0.121 0.517
Pd 0.772 0.879 0.483
Pd 0.610 0.669 0.793
Pd 0.110 0.331 0.207
Pd 0.312 0.956 0.044
Pd 0.772 0.517 0.121
Pd 0.272 0.483 0.879
Pd 0.610 0.207 0.331
Ga 0.963 0.704 0.939
Ga 0.331 0.477 0.523
Ga 0.463 0.296 0.061
Ga 0.463 0.939 0.704
Ga 0.831 0.523 0.477
Ga 0.963 0.061 0.296

=====

(2)
GaAs2Pd | GGA-PBE | relaxed

Summary:
Volume, Å³/cell: 75.1
Crystal system: trigonal
Size of the total moment, μB/atom: 0.000
Energy relative to the elements, eV/atom: -0.016
Fermi-level density of states, states/eV/f.u.: 2.00
Space group: R-3m
Total DFT energy (no corrections), eV/atom: -4.3954

Lattice parameters (Å, degrees): 2.992 2.992 9.848 81.26 81.26 60.00
Fractional positions:
As 0.903 0.903 0.290
As 0.097 0.097 0.710
Ga 0.000 0.000 0.000
Pd 0.500 0.500 0.500

=====

(3)
GaAsPd | GGA-PBE | relaxed

Summary:
Volume, Å³/cell: 55.8
Crystal system: cubic
Size of the total moment, μB/atom: 0.000
Energy relative to the elements, eV/atom: -0.328
Fermi-level density of states, states/eV/f.u.: 0.65
Space group: F-43m
Total DFT energy (no corrections), eV/atom: -4.6179

Lattice parameters (Å, degrees): 4.289 4.289 4.289 60.00 60.00 60.00
Fractional positions:
Ga 0.500 0.500 0.500
Pd 0.250 0.250 0.250
As 0.000 0.000 0.000

=====

(4)
GaAsPd5 | GGA-PBE | relaxed

Summary:
Volume, Å³/cell: 110.9
Crystal system: tetragonal
Size of the total moment, μB/atom: 0.000
Energy relative to the elements, eV/atom: -0.487
Polymorph energy (0 for the lowest one), eV per atom: 0.000
Fermi-level density of states, states/eV/f.u.: 0.72
Space group: P4/mmm
Total DFT energy (no corrections), eV/atom: -5.2930

Lattice parameters (Å, degrees): 3.997 3.997 6.939 90.00 90.00 90.00
Fractional positions:
Pd 0.500 0.000 0.280
Pd 0.000 0.500 0.720
Pd 0.500 0.000 0.720
Pd 0.000 0.000 0.000
Pd 0.000 0.500 0.280
Ga 0.500 0.500 0.000
As 0.000 0.000 0.500